Record 1
LiMgP2: optimized geometry, PBE-GGA.

```
4
Lattice="4.480 0.000 0.000 2.240 3.880 0.000 2.240 1.293 3.658" Properties=species:S:1:pos:R:3 pbc="T T T"
Li 4.480 2.587 1.829
P 2.240 1.293 0.915
P 0.000 0.000 0.000
Mg 6.721 3.880 2.744
```

Properties
**Crystal system**: cubic
**Electronic total energy**: -14.1 eV/cell

Record 2
CdB6Pt12: optimized geometry, PBE-GGA.

```
19
Lattice="-2.365 1.296 -6.213 -5.435 -1.561 3.728 2.198 5.945 2.387" Properties=species:S:1:pos:R:3 pbc="T T T"
B -3.526 0.688 1.499
B -5.193 1.927 -1.050
Pt -3.092 0.950 -0.682
Pt -3.730 3.487 -1.715
Pt -5.629 0.060 0.447
Pt -4.551 2.723 0.942
B -3.330 3.826 2.462
Pt -4.491 1.118 -3.235
B -2.273 1.854 -2.560
Pt 0.026 5.620 -0.546
Pt -1.664 3.898 -3.731
Pt -1.111 4.562 3.137
Pt -1.872 2.193 1.617
Pt -1.051 2.956 -1.040
Pt -2.510 4.730 0.584
Cd 0.000 0.000 0.000
B -0.409 3.753 0.952
B -2.076 4.992 -1.598
Pt -3.938 1.782 3.633
```

Properties
**Crystal system**: trigonal
**Electronic total energy**: -115.4 eV/cell

Record 3
Na2MgTl9: optimized geometry, PBE-GGA.

```
12
Lattice="4.858 0.000 0.000 0.000 4.858 0.000 0.000 0.000 14.549" Properties=species:S:1:pos:R:3 pbc="T T T"
Mg 0.000 0.000 0.000
Tl 0.000 2.429 12.186
Tl 2.429 0.000 7.275
Tl 0.000 2.429 7.275
Tl 2.429 0.000 2.364
Tl 2.429 2.429 4.860
Tl 2.429 2.429 0.000
Na 0.000 0.000 9.733
Na 0.000 0.000 4.817
Tl 0.000 2.429 2.364
Tl 2.429 0.000 12.186
Tl 2.429 2.429 9.689
```

Properties
**Crystal system**: tetragonal
**Electronic total energy**: -26.0 eV/cell

Record 4
LiMgInAu2: optimized geometry, PBE-GGA.

```
10
Lattice="4.218 0.000 0.000 0.000 6.977 1.263 0.000 -1.554 6.090" Properties=species:S:1:pos:R:3 pbc="T T T"
Mg 3.163 0.793 4.980
Au 3.163 4.694 4.190
In 1.054 5.370 6.131
Li 1.054 2.833 4.848
Au 3.163 3.078 6.611
In 3.163 0.052 1.222
Au 1.054 2.344 0.742
Mg 1.054 4.630 2.373
Li 3.163 2.589 2.505
Au 1.054 0.728 3.163
```

Properties
**Crystal system**: monoclinic
**Electronic total energy**: -29.8 eV/cell

Please write out number 1 again, unchanged.
LiMgP2: optimized geometry, PBE-GGA.

```
4
Lattice="4.480 0.000 0.000 2.240 3.880 0.000 2.240 1.293 3.658" Properties=species:S:1:pos:R:3 pbc="T T T"
Li 4.480 2.587 1.829
P 2.240 1.293 0.915
P 0.000 0.000 0.000
Mg 6.721 3.880 2.744
```

Properties
**Crystal system**: cubic
**Electronic total energy**: -14.1 eV/cell

Question: Which of these has the highest electronic total energy?
Answer: LiMgP2

Question: Number 1 is which compound?
Answer: LiMgP2

Question: Which of these has the highest electronic total energy?
Answer: LiMgP2